Entry 1:
DFT (GGA-PBEsol) results for ZnNi2Rh after structural relaxation.

Output
Total moment = 0.66 μB per cell
DFT formation energy = -0.10 eV/atom
N(E_F) = 1.376 states/eV per atom

a b c (Å): 2.5877 3.5801 5.1064
angles (deg): 90.00 90.00 90.00
Fractional coordinates of all 4 atoms:
Zn 0.0000 0.0000 0.0000
Ni 0.5000 0.5000 0.2514
Ni 0.5000 0.5000 0.7486
Rh 0.0000 0.0000 0.5000

=====

Entry 2:
DFT (GGA-PBEsol) results for MgCo3 after structural relaxation.

Output
Total moment = 8.34 μB per cell
DFT formation energy = 0.22 eV/atom
N(E_F) = 1.112 states/eV per atom

a b c (Å): 5.1138 5.1138 4.1127
angles (deg): 90.00 90.00 119.77
Fractional coordinates of all 8 atoms:
Mg 0.0881 0.9119 0.7500
Mg 0.9119 0.0881 0.2500
Co 0.0870 0.4286 0.7500
Co 0.4163 0.5837 0.2500
Co 0.4286 0.0870 0.2500
Co 0.5714 0.9130 0.7500
Co 0.5837 0.4163 0.7500
Co 0.9130 0.5714 0.2500

=====

Entry 3:
DFT (GGA-PBEsol) results for Sr2ZrTiO6 after structural relaxation.

Output
Uncorrected formation energy = -3.228 eV per atom
Total moment = 0.00 μB per cell
N(E_F) = 0.000 states/eV per atom

a b c (Å): 4.0027 4.0027 8.1627
angles (deg): 90.00 90.00 90.00
Fractional coordinates of all 10 atoms:
Sr 0.0000 0.0000 0.0000
Sr 0.0000 0.0000 0.4648
Zr 0.5000 0.5000 0.7189
Ti 0.5000 0.5000 0.2206
O 0.0000 0.5000 0.2047
O 0.0000 0.5000 0.6825
O 0.5000 0.0000 0.2047
O 0.5000 0.0000 0.6825
O 0.5000 0.5000 0.4429
O 0.5000 0.5000 0.9661

=====

Entry 4:
DFT (GGA-PBEsol) results for AsIrOs2 after structural relaxation.

Output
Total moment = 0.00 μB per cell
DFT formation energy = 0.24 eV/atom
N(E_F) = 0.896 states/eV per atom

a b c (Å): 8.5904 8.5904 8.5904
angles (deg): 18.69 18.69 18.69
Fractional coordinates of all 4 atoms:
As 0.0000 0.0000 0.0000
Ir 0.2521 0.2521 0.2521
Os 0.4978 0.4978 0.4978
Os 0.7476 0.7476 0.7476

=====

Entry 5:
DFT (GGA-PBEsol) results for Sr3LaTa2Co2O12 after structural relaxation.

Output
Uncorrected formation energy = -2.601 eV per atom
Total moment = 8.44 μB per cell
N(E_F) = 0.367 states/eV per atom

a b c (Å): 5.5778 5.5840 15.5627
angles (deg): 90.00 90.00 90.00
Fractional coordinates of all 40 atoms:
Sr 0.0000 0.0000 0.0000
Sr 0.0000 0.0000 0.2494
Sr 0.0000 0.0000 0.7494
Sr 0.5000 0.5000 0.2488
Sr 0.5000 0.5000 0.4998
Sr 0.5000 0.5000 0.7503
La 0.0000 0.0000 0.4983
La 0.5000 0.5000 0.9991
Ta 0.0000 0.5000 0.1257
Ta 0.5000 0.0000 0.3686
Ta 0.5000 0.0000 0.6251
Ta 0.5000 0.0000 0.8805
Co 0.0000 0.5000 0.3821
Co 0.0000 0.5000 0.6260
Co 0.0000 0.5000 0.8672
Co 0.5000 0.0000 0.1247
O 0.0000 0.5000 0.2510
O 0.0000 0.5000 0.5062
O 0.0000 0.5000 0.7454
O 0.0000 0.5000 0.9994
O 0.2486 0.2427 0.3795
O 0.2486 0.2437 0.6231
O 0.2486 0.7563 0.6231
O 0.2486 0.7573 0.3795
O 0.2564 0.2518 0.1225
O 0.2564 0.7482 0.1225
O 0.2567 0.2519 0.8792
O 0.2567 0.7481 0.8792
O 0.5000 0.0000 0.0060
O 0.5000 0.0000 0.2447
O 0.5000 0.0000 0.4989
O 0.5000 0.0000 0.7523
O 0.7433 0.2519 0.8792
O 0.7433 0.7481 0.8792
O 0.7436 0.2518 0.1225
O 0.7436 0.7482 0.1225
O 0.7514 0.2427 0.3795
O 0.7514 0.2437 0.6231
O 0.7514 0.7563 0.6231
O 0.7514 0.7573 0.3795

=====

Entry 6:
DFT (GGA-PBEsol) results for ZrZnSb2 after structural relaxation.

Output
Uncorrected formation energy = -0.366 eV per atom
Total moment = 0.00 μB per cell
N(E_F) = 0.383 states/eV per atom

a b c (Å): 3.7436 3.7433 6.0394
angles (deg): 90.00 90.08 90.00
Fractional coordinates of all 4 atoms:
Zr 0.0000 0.0000 0.0000
Zn 0.0000 0.0000 0.5000
Sb 0.4994 0.5000 0.7511
Sb 0.5006 0.5000 0.2489

=====

Entry 7:
DFT (GGA-PBEsol) results for Sc2TlTc after structural relaxation.

Output
Total moment = 0.00 μB per cell
DFT formation energy = 0.22 eV/atom
N(E_F) = 1.510 states/eV per atom

a b c (Å): 3.0507 3.0507 9.3414
angles (deg): 90.00 90.00 111.64
Fractional coordinates of all 4 atoms:
Sc 0.0000 0.0000 0.0000
Sc 0.5000 0.5000 0.2872
Tl 0.5000 0.5000 0.7307
Tc 0.0000 0.0000 0.4942

=====

Entry 8:
DFT (GGA-PBEsol) results for Mg2ScBr after structural relaxation.

Output
Uncorrected formation energy = -0.212 eV per atom
Total moment = 0.00 μB per cell
N(E_F) = 0.594 states/eV per atom

a b c (Å): 6.1203 6.1203 6.1203
angles (deg): 141.41 141.41 55.72
Fractional coordinates of all 4 atoms:
Mg 0.2500 0.7500 0.5000
Mg 0.7500 0.2500 0.5000
Sc 0.0000 0.0000 0.0000
Br 0.5000 0.5000 0.0000